# KTeRu2 | the Alexandria database | PBE | optimized geometry
data_KTeRu2
_chemical_formula_sum 'K1 Te1 Ru2'
_cell_length_a 3.436
_cell_length_b 4.637
_cell_length_c 4.637
_cell_angle_alpha 90.00
_cell_angle_beta 90.00
_cell_angle_gamma 90.00
_space_group_name_H-M_alt 'P 1'
_space_group_IT_number 1
loop_
_space_group_symop_operation_xyz
'x,y,z'
loop_
_atom_site_label
_atom_site_fract_x
_atom_site_fract_y
_atom_site_fract_z
K1 0.500 0.000 0.500
Te1 0.500 0.500 0.000
Ru1 0.000 0.000 0.000
Ru2 0.000 0.500 0.500
# N(E_F): 5.159 states/eV/f.u.
# energy relative to the elements, uncorrected: 94 kJ/mol of atoms
# magnetization: 0.00 Bohr magnetons per cell
# calculated density: 8290 kg/m3
# symmetry: No. 123

# KTeRu2 | the Alexandria database | PBE | optimized geometry
data_KTeRu2
_chemical_formula_sum 'K1 Te1 Ru2'
_cell_length_a 3.236
_cell_length_b 3.236
_cell_length_c 8.263
_cell_angle_alpha 90.00
_cell_angle_beta 90.00
_cell_angle_gamma 90.00
_space_group_name_H-M_alt 'P 1'
_space_group_IT_number 1
loop_
_space_group_symop_operation_xyz
'x,y,z'
loop_
_atom_site_label
_atom_site_fract_x
_atom_site_fract_y
_atom_site_fract_z
Ru1 0.000 0.000 0.076
Ru2 0.000 0.000 0.424
Te1 0.500 0.500 0.250
K1 0.500 0.500 0.750
# N(E_F): 4.032 states/eV/f.u.
# energy relative to the elements, uncorrected: 69 kJ/mol of atoms
# magnetization: 1.16 Bohr magnetons per cell
# calculated density: 7080 kg/m3
# symmetry: No. 123

# K2TeRu2 | the Alexandria database | PBE | optimized geometry
data_K2TeRu2
_chemical_formula_sum 'K2 Te1 Ru2'
_cell_length_a 11.452
_cell_length_b 11.452
_cell_length_c 11.452
_cell_angle_alpha 162.49
_cell_angle_beta 162.49
_cell_angle_gamma 24.86
_space_group_name_H-M_alt 'P 1'
_space_group_IT_number 1
loop_
_space_group_symop_operation_xyz
'x,y,z'
loop_
_atom_site_label
_atom_site_fract_x
_atom_site_fract_y
_atom_site_fract_z
Te1 0.000 0.000 0.000
Ru1 0.250 0.750 0.500
Ru2 0.750 0.250 0.500
K1 0.386 0.386 0.000
K2 0.614 0.614 0.000
# N(E_F): 2.473 states/eV/f.u.
# energy relative to the elements, uncorrected: 27 kJ/mol of atoms
# magnetization: 0.00 Bohr magnetons per cell
# calculated density: 4983 kg/m3
# symmetry: No. 139

# KTeRu2 | the Alexandria database | PBE | optimized geometry
data_KTeRu2
_chemical_formula_sum 'K2 Te2 Ru4'
_cell_length_a 7.795
_cell_length_b 7.795
_cell_length_c 6.354
_cell_angle_alpha 52.17
_cell_angle_beta 52.17
_cell_angle_gamma 90.00
_space_group_name_H-M_alt 'P 1'
_space_group_IT_number 1
loop_
_space_group_symop_operation_xyz
'x,y,z'
loop_
_atom_site_label
_atom_site_fract_x
_atom_site_fract_y
_atom_site_fract_z
Ru1 0.048 0.625 0.250
Ru2 0.702 0.125 0.250
Ru3 0.875 0.952 0.750
Ru4 0.375 0.298 0.750
K1 0.250 0.750 0.500
K2 0.500 0.500 0.000
Te1 0.000 0.000 0.000
Te2 0.750 0.250 0.500
# N(E_F): 2.871 states/eV/f.u.
# energy relative to the elements, uncorrected: 91 kJ/mol of atoms
# magnetization: 0.00 Bohr magnetons per cell
# calculated density: 6376 kg/m3
# symmetry: No. 122

# KTeRu4 | the Alexandria database | PBE | optimized geometry
data_KTeRu4
_chemical_formula_sum 'K1 Te1 Ru4'
_cell_length_a 5.363
_cell_length_b 5.363
_cell_length_c 5.363
_cell_angle_alpha 60.00
_cell_angle_beta 60.00
_cell_angle_gamma 60.00
_space_group_name_H-M_alt 'P 1'
_space_group_IT_number 1
loop_
_space_group_symop_operation_xyz
'x,y,z'
loop_
_atom_site_label
_atom_site_fract_x
_atom_site_fract_y
_atom_site_fract_z
K1 0.000 0.000 0.000
Te1 0.750 0.750 0.750
Ru1 0.376 0.376 0.872
Ru2 0.376 0.376 0.376
Ru3 0.872 0.376 0.376
Ru4 0.376 0.872 0.376
# N(E_F): 8.377 states/eV/f.u.
# energy relative to the elements, uncorrected: 82 kJ/mol of atoms
# magnetization: 3.15 Bohr magnetons per cell
# calculated density: 8695 kg/m3
# symmetry: No. 216

# KTeRu2 | the Alexandria database | PBE | optimized geometry
data_KTeRu2
_chemical_formula_sum 'K1 Te1 Ru2'
_cell_length_a 5.410
_cell_length_b 5.860
_cell_length_c 2.924
_cell_angle_alpha 75.24
_cell_angle_beta 90.66
_cell_angle_gamma 117.68
_space_group_name_H-M_alt 'P 1'
_space_group_IT_number 1
loop_
_space_group_symop_operation_xyz
'x,y,z'
loop_
_atom_site_label
_atom_site_fract_x
_atom_site_fract_y
_atom_site_fract_z
Ru1 0.000 0.000 0.000
Ru2 0.500 0.000 0.500
K1 0.500 0.500 0.000
Te1 0.000 0.500 0.500
# N(E_F): 5.800 states/eV/f.u.
# energy relative to the elements, uncorrected: 100 kJ/mol of atoms
# magnetization: 1.67 Bohr magnetons per cell
# calculated density: 7777 kg/m3
# symmetry: No. 12

# K3TeRu | the Alexandria database | PBE | optimized geometry
data_K3TeRu
_chemical_formula_sum 'K3 Te1 Ru1'
_cell_length_a 6.612
_cell_length_b 6.612
_cell_length_c 6.612
_cell_angle_alpha 90.00
_cell_angle_beta 90.00
_cell_angle_gamma 90.00
_space_group_name_H-M_alt 'P 1'
_space_group_IT_number 1
loop_
_space_group_symop_operation_xyz
'x,y,z'
loop_
_atom_site_label
_atom_site_fract_x
_atom_site_fract_y
_atom_site_fract_z
K1 0.000 0.000 0.500
K2 0.000 0.500 0.000
K3 0.500 0.000 0.000
Ru1 0.500 0.500 0.500
Te1 0.000 0.000 0.000
# N(E_F): 0.389 states/eV/f.u.
# energy relative to the elements, uncorrected: 51 kJ/mol of atoms
# magnetization: 3.00 Bohr magnetons per cell
# calculated density: 1988 kg/m3
# symmetry: No. 221

# KTeRu2 | the Alexandria database | PBE | optimized geometry
data_KTeRu2
_chemical_formula_sum 'K1 Te1 Ru2'
_cell_length_a 4.832
_cell_length_b 4.832
_cell_length_c 4.832
_cell_angle_alpha 60.00
_cell_angle_beta 60.00
_cell_angle_gamma 60.00
_space_group_name_H-M_alt 'P 1'
_space_group_IT_number 1
loop_
_space_group_symop_operation_xyz
'x,y,z'
loop_
_atom_site_label
_atom_site_fract_x
_atom_site_fract_y
_atom_site_fract_z
Ru1 0.250 0.250 0.250
Ru2 0.000 0.000 0.000
K1 0.500 0.500 0.500
Te1 0.750 0.750 0.750
# N(E_F): 5.285 states/eV/f.u.
# energy relative to the elements, uncorrected: 95 kJ/mol of atoms
# magnetization: 2.95 Bohr magnetons per cell
# calculated density: 7677 kg/m3
# symmetry: No. 216

# KTeRu3 | the Alexandria database | PBE | optimized geometry
data_KTeRu3
_chemical_formula_sum 'K1 Te1 Ru3'
_cell_length_a 4.956
_cell_length_b 4.956
_cell_length_c 4.956
_cell_angle_alpha 90.00
_cell_angle_beta 90.00
_cell_angle_gamma 90.00
_space_group_name_H-M_alt 'P 1'
_space_group_IT_number 1
loop_
_space_group_symop_operation_xyz
'x,y,z'
loop_
_atom_site_label
_atom_site_fract_x
_atom_site_fract_y
_atom_site_fract_z
Te1 0.000 0.000 0.000
Ru1 0.500 0.000 0.000
Ru2 0.000 0.500 0.000
Ru3 0.000 0.000 0.500
K1 0.500 0.500 0.500
# N(E_F): 5.963 states/eV/f.u.
# energy relative to the elements, uncorrected: 126 kJ/mol of atoms
# magnetization: 2.94 Bohr magnetons per cell
# calculated density: 6412 kg/m3
# symmetry: No. 221

# KTeRu2 | the Alexandria database | PBE | optimized geometry
data_KTeRu2
_chemical_formula_sum 'K1 Te1 Ru2'
_cell_length_a 2.992
_cell_length_b 3.752
_cell_length_c 8.099
_cell_angle_alpha 90.00
_cell_angle_beta 90.00
_cell_angle_gamma 90.00
_space_group_name_H-M_alt 'P 1'
_space_group_IT_number 1
loop_
_space_group_symop_operation_xyz
'x,y,z'
loop_
_atom_site_label
_atom_site_fract_x
_atom_site_fract_y
_atom_site_fract_z
Ru1 0.000 0.000 0.086
Ru2 0.500 0.500 0.223
K1 0.500 0.500 0.771
Te1 0.000 0.000 0.419
# N(E_F): 4.890 states/eV/f.u.
# energy relative to the elements, uncorrected: 43 kJ/mol of atoms
# magnetization: 0.00 Bohr magnetons per cell
# calculated density: 6736 kg/m3
# symmetry: No. 25

# KTeRu2 | the Alexandria database | PBE | optimized geometry
data_KTeRu2
_chemical_formula_sum 'K1 Te1 Ru2'
_cell_length_a 5.824
_cell_length_b 5.824
_cell_length_c 5.824
_cell_angle_alpha 148.47
_cell_angle_beta 124.94
_cell_angle_gamma 64.84
_space_group_name_H-M_alt 'P 1'
_space_group_IT_number 1
loop_
_space_group_symop_operation_xyz
'x,y,z'
loop_
_atom_site_label
_atom_site_fract_x
_atom_site_fract_y
_atom_site_fract_z
Te1 0.750 0.250 0.500
K1 0.250 0.750 0.500
Ru1 0.540 0.540 0.000
Ru2 0.960 0.960 0.000
# N(E_F): 4.392 states/eV/f.u.
# energy relative to the elements, uncorrected: 85 kJ/mol of atoms
# magnetization: 0.00 Bohr magnetons per cell
# calculated density: 7312 kg/m3
# symmetry: No. 71

# KTeRu2 | the Alexandria database | PBE | optimized geometry
data_KTeRu2
_chemical_formula_sum 'K1 Te1 Ru2'
_cell_length_a 4.084
_cell_length_b 3.717
_cell_length_c 7.087
_cell_angle_alpha 83.45
_cell_angle_beta 90.00
_cell_angle_gamma 90.00
_space_group_name_H-M_alt 'P 1'
_space_group_IT_number 1
loop_
_space_group_symop_operation_xyz
'x,y,z'
loop_
_atom_site_label
_atom_site_fract_x
_atom_site_fract_y
_atom_site_fract_z
Te1 0.000 0.412 0.414
Ru1 0.500 0.296 0.171
Ru2 0.000 0.955 0.158
K1 0.500 0.837 0.758
# N(E_F): 4.682 states/eV/f.u.
# energy relative to the elements, uncorrected: 42 kJ/mol of atoms
# magnetization: 0.00 Bohr magnetons per cell
# calculated density: 5731 kg/m3
# symmetry: No. 6

# KTi2Ru4 | the Alexandria database | PBE | optimized geometry
data_KTi2Ru4
_chemical_formula_sum 'K1 Ti2 Ru4'
_cell_length_a 4.549
_cell_length_b 4.549
_cell_length_c 7.239
_cell_angle_alpha 71.69
_cell_angle_beta 71.69
_cell_angle_gamma 90.00
_space_group_name_H-M_alt 'P 1'
_space_group_IT_number 1
loop_
_space_group_symop_operation_xyz
'x,y,z'
loop_
_atom_site_label
_atom_site_fract_x
_atom_site_fract_y
_atom_site_fract_z
Ru1 0.789 0.789 0.422
Ru2 0.500 0.000 0.000
Ru3 0.211 0.211 0.578
Ru4 0.000 0.500 0.000
K1 0.000 0.000 0.000
Ti1 0.376 0.376 0.248
Ti2 0.624 0.624 0.752
# N(E_F): 6.793 states/eV/f.u.
# magnetization: 1.89 Bohr magnetons per cell
# calculated density: 6671 kg/m3
# symmetry: No. 139
# E_form: 1649 meV/atom

# KTiRu3 | the Alexandria database | PBE | optimized geometry
data_KTiRu3
_chemical_formula_sum 'K1 Ti1 Ru3'
_cell_length_a 4.507
_cell_length_b 4.507
_cell_length_c 4.507
_cell_angle_alpha 90.00
_cell_angle_beta 90.00
_cell_angle_gamma 90.00
_space_group_name_H-M_alt 'P 1'
_space_group_IT_number 1
loop_
_space_group_symop_operation_xyz
'x,y,z'
loop_
_atom_site_label
_atom_site_fract_x
_atom_site_fract_y
_atom_site_fract_z
Ru1 0.000 0.000 0.500
Ru2 0.500 0.000 0.000
Ru3 0.000 0.500 0.000
K1 0.000 0.000 0.000
Ti1 0.500 0.500 0.500
# N(E_F): 5.270 states/eV/f.u.
# magnetization: 0.00 Bohr magnetons per cell
# calculated density: 7078 kg/m3
# symmetry: No. 221
# E_form: 2576 meV/atom

| no. | V (Å³/atom) |
| --- | --- |
| 1 | 18.5 |
| 2 | 21.6 |
| 3 | 27.2 |
| 4 | 24.0 |
| 5 | 18.2 |
| 6 | 19.7 |
| 7 | 57.8 |
| 8 | 19.9 |
| 9 | 24.3 |
| 10 | 22.7 |
| 11 | 20.9 |
| 12 | 26.7 |
| 13 | 19.2 |
| 14 | 18.3 |